1.
The following is a SCAN calculation of Nb4AgS8 at its PBEsol-relaxed geometry, from Alexandria.

Results
E_form (uncorrected): -1.057 eV per atom

Cell: 3.3230 3.3230 25.1418 Å, 86.21 86.21 60.00°
Site moments in Bohr magnetons follow the coordinates.
Fractional coordinates of all 13 atoms:
Nb: 0.4565 0.4565 0.6304  0.59
Nb: 0.5342 0.5342 0.3975  0.02
Nb: 0.0421 0.0421 0.8736  0.58
Nb: 0.9650 0.9650 0.1049  0.04
S: 0.8472 0.8472 0.4583  0.01
S: 0.3547 0.3547 0.9358  0.01
S: 0.8886 0.8886 0.3342  0.00
S: 0.6108 0.6108 0.1675  0.00
S: 0.3962 0.3962 0.8115  0.00
S: 0.1439 0.1439 0.5682  0.00
S: 0.1025 0.1025 0.6925  0.00
S: 0.6520 0.6520 0.0441  0.01
Ag: 0.5792 0.5792 0.2623  0.00

***

2.
The following is a SCAN calculation of NbAgS3 at its PBEsol-relaxed geometry, from Alexandria.

Results
E_form (uncorrected): 0.752 eV per atom

Cell: 4.6374 4.6374 4.6374 Å, 90.00 90.00 90.00°
Site moments in Bohr magnetons follow the coordinates.
Fractional coordinates of all 5 atoms:
S: 0.5000 0.0000 0.0000  -0.21
S: 0.0000 0.0000 0.5000  -0.21
S: 0.0000 0.5000 0.0000  -0.21
Ag: 0.0000 0.0000 0.0000  -0.02
Nb: 0.5000 0.5000 0.5000  2.13

***

3.
The following is a SCAN calculation of Nb3Ag2TeS6 at its PBEsol-relaxed geometry, from Alexandria.

Results
E_form (uncorrected): -0.913 eV per atom

Cell: 5.6811 5.6722 8.1651 Å, 90.00 90.00 120.05°
Fractional coordinates of all 12 atoms:
S: 0.0391 0.0000 0.6842
S: 0.7037 0.3337 0.6963
S: 0.3699 0.6663 0.3037
S: 0.0391 0.0000 0.3158
S: 0.7037 0.3337 0.3037
S: 0.3699 0.6663 0.6963
Nb: 0.0374 0.3400 0.5000
Nb: 0.6974 0.6600 0.5000
Nb: 0.3779 0.0000 0.5000
Ag: 0.3114 0.6494 0.0000
Ag: 0.6620 0.3506 0.0000
Te: 0.0454 0.0000 0.0000

***

4.
The following is a SCAN calculation of NbAg3Sn at its PBEsol-relaxed geometry, from Alexandria.

Results
Formation enthalpy at 0 K: 1.423 eV per atom

Cell: 5.0543 5.0543 5.0543 Å, 90.00 90.00 90.00°
Fractional coordinates of all 5 atoms:
Ag: 0.0000 0.5000 0.0000
Ag: 0.0000 0.0000 0.5000
Ag: 0.5000 0.0000 0.0000
Nb: 0.0000 0.0000 0.0000
Sn: 0.5000 0.5000 0.5000

***

5.
The following is a SCAN calculation of Nb2AgSnTe at its PBEsol-relaxed geometry, from Alexandria.

Results
E_form (uncorrected): 1.501 eV per atom

Cell: 5.0109 5.0109 5.6098 Å, 90.00 90.00 90.00°
Fractional coordinates of all 5 atoms:
Sn: 0.0000 0.0000 0.5000
Nb: 0.0000 0.5000 0.0000
Nb: 0.5000 0.0000 0.0000
Te: 0.0000 0.0000 0.0000
Ag: 0.5000 0.5000 0.5000

***

6.
The following is a SCAN calculation of TiNb3Ag at its PBEsol-relaxed geometry, from Alexandria.

Results
Formation enthalpy at 0 K: 1.769 eV per atom

Cell: 4.8417 4.8417 4.8417 Å, 90.00 90.00 90.00°
Site moments in Bohr magnetons follow the coordinates.
Fractional coordinates of all 5 atoms:
Ti: 0.5000 0.5000 0.5000  1.17
Nb: 0.0000 0.0000 0.5000  -0.06
Nb: 0.5000 0.0000 0.0000  -0.06
Nb: 0.0000 0.5000 0.0000  -0.06
Ag: 0.0000 0.0000 0.0000  0.02

***

7.
The following is a SCAN calculation of TiNbAg2 at its PBEsol-relaxed geometry, from Alexandria.

Results
Formation enthalpy at 0 K: 0.350 eV per atom

Cell: 4.5876 4.5876 4.5876 Å, 60.00 60.00 60.00°
Fractional coordinates of all 4 atoms:
Ti: 0.0000 0.0000 0.0000
Ag: 0.7500 0.7500 0.7500
Ag: 0.2500 0.2500 0.2500
Nb: 0.5000 0.5000 0.5000

***

8.
The following is a SCAN calculation of ZrTi2NbAg at its PBEsol-relaxed geometry, from Alexandria.

Results
Formation enthalpy at 0 K: 1.414 eV per atom

Cell: 4.5780 4.5780 4.9576 Å, 90.00 90.00 90.00°
Fractional coordinates of all 5 atoms:
Ag: 0.0000 0.0000 0.5000
Nb: 0.5000 0.5000 0.5000
Ti: 0.0000 0.5000 0.0000
Ti: 0.5000 0.0000 0.0000
Zr: 0.0000 0.0000 0.0000

***

9.
The following is a SCAN calculation of NbAg2W at its PBEsol-relaxed geometry, from Alexandria.

Results
Formation enthalpy at 0 K: 0.939 eV per atom

Cell: 4.5501 4.5501 4.5501 Å, 60.00 60.00 60.00°
Fractional coordinates of all 4 atoms:
Ag: 0.2500 0.2500 0.2500
Ag: 0.7500 0.7500 0.7500
W: 0.5000 0.5000 0.5000
Nb: 0.0000 0.0000 0.0000

***

10.
The following is a SCAN calculation of NbAgW3 at its PBEsol-relaxed geometry, from Alexandria.

Results
Formation enthalpy at 0 K: 2.871 eV per atom

Cell: 4.6780 4.6780 4.6780 Å, 90.00 90.00 90.00°
Fractional coordinates of all 5 atoms:
W: 0.0000 0.5000 0.0000
W: 0.0000 0.0000 0.5000
W: 0.5000 0.0000 0.0000
Ag: 0.0000 0.0000 0.0000
Nb: 0.5000 0.5000 0.5000

***

11.
The following is a SCAN calculation of NbZn3Ag at its PBEsol-relaxed geometry, from Alexandria.

Results
Formation enthalpy at 0 K: 0.904 eV per atom

Cell: 4.5576 4.5576 4.5576 Å, 90.00 90.00 90.00°
Fractional coordinates of all 5 atoms:
Zn: 0.5000 0.0000 0.0000
Zn: 0.0000 0.5000 0.0000
Zn: 0.0000 0.0000 0.5000
Nb: 0.5000 0.5000 0.5000
Ag: 0.0000 0.0000 0.0000

***

12.
The following is a SCAN calculation of Nb3ZnAg at its PBEsol-relaxed geometry, from Alexandria.

Results
Formation enthalpy at 0 K: 1.244 eV per atom

Cell: 4.6580 4.6580 4.6580 Å, 90.00 90.00 90.00°
Site moments in Bohr magnetons follow the coordinates.
Fractional coordinates of all 5 atoms:
Nb: 0.0000 0.0000 0.5000  0.42
Nb: 0.0000 0.5000 0.0000  0.42
Nb: 0.5000 0.0000 0.0000  0.42
Zn: 0.0000 0.0000 0.0000  0.01
Ag: 0.5000 0.5000 0.5000  0.02

***

13.
The following is a SCAN calculation of NdAg at its PBEsol-relaxed geometry, from Alexandria.

Results
Formation enthalpy at 0 K: -0.320 eV per atom

Cell: 3.6818 3.6818 3.6818 Å, 90.00 90.00 90.00°
Fractional coordinates of all 2 atoms:
Nd: 0.0000 0.0000 0.0000
Ag: 0.5000 0.5000 0.5000

***

14.
The following is a SCAN calculation of NdAg2 at its PBEsol-relaxed geometry, from Alexandria.

Results
Formation enthalpy at 0 K: -0.318 eV per atom

Cell: 4.7376 5.8333 5.8333 Å, 72.90 66.04 66.04°
Fractional coordinates of all 6 atoms:
Ag: 0.8346 0.6256 0.7053
Ag: 0.1654 0.7947 0.8744
Ag: 0.8346 0.2053 0.1256
Ag: 0.1654 0.3744 0.2947
Nd: 0.4641 0.7859 0.2859
Nd: 0.5359 0.2141 0.7141

***

15.
The following is a SCAN calculation of NdAg3 at its PBEsol-relaxed geometry, from Alexandria.

Results
Formation enthalpy at 0 K: -0.212 eV per atom

Cell: 4.7821 6.3763 6.3763 Å, 120.00 90.00 90.00°
Fractional coordinates of all 8 atoms:
Ag: 0.7500 0.8506 0.7012
Ag: 0.7500 0.8506 0.1494
Ag: 0.2500 0.7012 0.8506
Ag: 0.2500 0.1494 0.2988
Ag: 0.2500 0.1494 0.8506
Ag: 0.7500 0.2988 0.1494
Nd: 0.7500 0.3333 0.6667
Nd: 0.2500 0.6667 0.3333

***

16.
The following is a SCAN calculation of NdAg2 at its PBEsol-relaxed geometry, from Alexandria.

Results
Formation enthalpy at 0 K: -0.299 eV per atom

Cell: 3.3822 4.7572 4.7572 Å, 120.00 90.00 90.00°
Fractional coordinates of all 3 atoms:
Nd: 0.0000 0.0000 0.0000
Ag: 0.5000 0.3333 0.6667
Ag: 0.5000 0.6667 0.3333

***

17.
The following is a SCAN calculation of NdAgW2O8 at its PBEsol-relaxed geometry, from Alexandria.

Results
E_form (uncorrected): -2.411 eV per atom

Cell: 7.2749 7.4594 7.4594 Å, 94.40 114.81 114.81°
Fractional coordinates of all 24 atoms:
O: 0.0958 0.0486 0.3031
O: 0.3604 0.3137 0.7906
O: 0.6625 0.9791 0.9791
O: 0.6396 0.6863 0.2094
O: 0.1458 0.4444 0.4444
O: 0.3604 0.7906 0.3137
O: 0.7596 0.1024 0.3445
O: 0.7596 0.3445 0.1024
O: 0.3375 0.0209 0.0209
O: 0.6396 0.2094 0.6863
O: 0.0958 0.3031 0.0486
O: 0.9042 0.6969 0.9514
O: 0.2404 0.6555 0.8976
O: 0.8542 0.5556 0.5556
O: 0.2404 0.8976 0.6555
O: 0.9042 0.9514 0.6969
W: 0.5000 0.1617 0.8383
W: 0.0229 0.7879 0.7879
W: 0.5000 0.8383 0.1617
W: 0.9771 0.2121 0.2121
Ag: 0.4822 0.3055 0.3055
Ag: 0.5178 0.6945 0.6945
Nd: 0.0000 0.6955 0.3045
Nd: 0.0000 0.3045 0.6955

***

18.
The following is a SCAN calculation of Nd3SiAgS7 at its PBEsol-relaxed geometry, from Alexandria.

Results
E_form (uncorrected): -1.749 eV per atom

Cell: 5.6957 10.1553 10.1553 Å, 120.00 90.00 90.00°
Fractional coordinates of all 24 atoms:
Nd: 0.7504 0.7648 0.6405
Nd: 0.2504 0.2352 0.3595
Nd: 0.7504 0.3595 0.1243
Nd: 0.2504 0.1243 0.7648
Nd: 0.2504 0.6405 0.8757
Nd: 0.7504 0.8757 0.2352
S: 0.4831 0.5891 0.1122
S: 0.7376 0.1769 0.2692
S: 0.2376 0.2692 0.0923
S: 0.4831 0.5231 0.4109
S: 0.9831 0.4109 0.8878
S: 0.9831 0.4769 0.5891
S: 0.2376 0.9077 0.1769
S: 0.9831 0.1122 0.5231
S: 0.4831 0.8878 0.4769
S: 0.4664 0.3333 0.6667
S: 0.7376 0.0923 0.8231
S: 0.7376 0.7308 0.9077
S: 0.9664 0.6667 0.3333
S: 0.2376 0.8231 0.7308
Si: 0.8363 0.3333 0.6667
Si: 0.3363 0.6667 0.3333
Ag: 0.7078 0.0000 0.0000
Ag: 0.2078 0.0000 0.0000

***

19.
The following is a SCAN calculation of Nd5AgSe8 at its PBEsol-relaxed geometry, from Alexandria.

Results
E_form (uncorrected): -1.914 eV per atom

Cell: 7.6022 7.6022 7.6022 Å, 108.54 109.94 109.94°
Fractional coordinates of all 14 atoms:
Ag: 0.0000 0.0000 0.0000
Se: 0.6102 0.7240 0.9723
Se: 0.8999 0.3900 0.1326
Se: 0.3898 0.3620 0.1138
Se: 0.1001 0.2327 0.4901
Se: 0.7517 0.0277 0.6380
Se: 0.2574 0.8674 0.7673
Se: 0.2483 0.8862 0.2760
Se: 0.7426 0.5099 0.6100
Nd: 0.8769 0.7594 0.3796
Nd: 0.6202 0.1175 0.2406
Nd: 0.3798 0.6204 0.4973
Nd: 0.1231 0.5027 0.8825
Nd: 0.5000 0.2500 0.7500

***

20.
The following is a SCAN calculation of Nd3SiAgSe7 at its PBEsol-relaxed geometry, from Alexandria.

Results
E_form (uncorrected): -1.534 eV per atom

Cell: 5.9716 10.5656 10.5656 Å, 120.00 90.00 90.00°
Fractional coordinates of all 24 atoms:
Se: 0.2724 0.4792 0.8947
Se: 0.5198 0.9036 0.7284
Se: 0.2724 0.4154 0.5208
Se: 0.2422 0.6667 0.3333
Se: 0.7422 0.3333 0.6667
Se: 0.0198 0.1753 0.9036
Se: 0.2724 0.1053 0.5846
Se: 0.0198 0.0964 0.2716
Se: 0.0198 0.7284 0.8247
Se: 0.7724 0.5208 0.1053
Se: 0.7724 0.8947 0.4154
Se: 0.7724 0.5846 0.4792
Se: 0.5198 0.8247 0.0964
Se: 0.5198 0.2716 0.1753
Nd: 0.0334 0.3574 0.2304
Nd: 0.5334 0.2304 0.8730
Nd: 0.5334 0.6426 0.7696
Nd: 0.0334 0.7696 0.1270
Nd: 0.5334 0.1270 0.3574
Nd: 0.0334 0.8730 0.6426
Ag: 0.9909 0.0000 0.0000
Ag: 0.4909 0.0000 0.0000
Si: 0.1204 0.3333 0.6667
Si: 0.6204 0.6667 0.3333

***

21.
The following is a SCAN calculation of NdSi2Ag2 at its PBEsol-relaxed geometry, from Alexandria.

Results
E_form (uncorrected): -0.472 eV per atom

Cell: 4.1797 4.1797 6.0547 Å, 110.19 110.19 90.00°
Fractional coordinates of all 5 atoms:
Si: 0.3904 0.3904 0.7808
Si: 0.6096 0.6096 0.2192
Nd: 0.0000 0.0000 0.0000
Ag: 0.7500 0.2500 0.5000
Ag: 0.2500 0.7500 0.5000

***

22.
The following is a SCAN calculation of Nd3Ag4Sn4 at its PBEsol-relaxed geometry, from Alexandria.

Results
Formation enthalpy at 0 K: -0.646 eV per atom

Cell: 4.6082 7.2814 8.7858 Å, 114.48 105.20 90.00°
Fractional coordinates of all 11 atoms:
Sn: 0.5000 0.1954 0.0000
Sn: 0.7843 0.2843 0.5686
Sn: 0.2157 0.7157 0.4314
Sn: 0.5000 0.8046 0.0000
Nd: 0.0000 0.5000 0.0000
Nd: 0.1294 0.1294 0.2587
Nd: 0.8706 0.8706 0.7413
Ag: 0.3297 0.5242 0.6594
Ag: 0.3297 0.1353 0.6594
Ag: 0.6703 0.4758 0.3406
Ag: 0.6703 0.8647 0.3406

***

23.
The following is a SCAN calculation of Nd2TlAg at its PBEsol-relaxed geometry, from Alexandria.

Results
Formation enthalpy at 0 K: -0.480 eV per atom

Cell: 5.3275 5.3275 5.3275 Å, 60.00 60.00 60.00°
Site moments in Bohr magnetons follow the coordinates.
Fractional coordinates of all 4 atoms:
Ag: 0.5000 0.5000 0.5000  0.01
Nd: 0.2500 0.2500 0.2500  0.08
Nd: 0.7500 0.7500 0.7500  0.08
Tl: 0.0000 0.0000 0.0000  0.00

***

24.
The following is a SCAN calculation of NdZn2Ag at its PBEsol-relaxed geometry, from Alexandria.

Results
Formation enthalpy at 0 K: -0.305 eV per atom

Cell: 4.7403 4.7403 4.7403 Å, 60.00 60.00 60.00°
Fractional coordinates of all 4 atoms:
Zn: 0.2500 0.2500 0.2500
Zn: 0.7500 0.7500 0.7500
Nd: 0.5000 0.5000 0.5000
Ag: 0.0000 0.0000 0.0000

***

Number 1: final energy -0.7199 hartree per atom. Number 2: final energy -0.6587 hartree per atom. Number 3: final energy -0.8210 hartree per atom. Number 4: final energy -1.1469 hartree per atom. Number 5: final energy -1.2002 hartree per atom. Number 6: final energy -1.0139 hartree per atom. Number 7: final energy -1.0152 hartree per atom. Number 8: final energy -0.8833 hartree per atom. Number 9: final energy -1.4865 hartree per atom. Number 10: final energy -1.9051 hartree per atom. Number 11: final energy -0.7388 hartree per atom. Number 12: final energy -1.0147 hartree per atom. Number 13: final energy -1.3889 hartree per atom. Number 14: final energy -1.3140 hartree per atom. Number 15: final energy -1.2727 hartree per atom. Number 16: final energy -1.3133 hartree per atom. Number 17: final energy -0.8976 hartree per atom. Number 18: final energy -0.7978 hartree per atom. Number 19: final energy -1.1463 hartree per atom. Number 20: final energy -1.0139 hartree per atom. Number 21: final energy -0.9460 hartree per atom. Number 22: final energy -1.3598 hartree per atom. Number 23: final energy -1.7714 hartree per atom. Number 24: final energy -0.9481 hartree per atom.